# 1
A plane-wave DFT calculation with PBE was carried out for crystalline ZrTlCoRe at its relaxed geometry.

The structure in POSCAR format:
```
ZrTlCoRe
1.0
0.000 3.263 3.263
3.263 0.000 3.263
3.263 3.263 0.000
Tl Re Co Zr
1 1 1 1
Direct
0.000 0.000 0.000
0.500 0.500 0.500
0.750 0.750 0.750
0.250 0.250 0.250
```

# 2
A plane-wave DFT calculation with PBE was carried out for crystalline ZnCoReW at its relaxed geometry.

The structure in POSCAR format:
```
ZnCoReW
1.0
4.271 0.243 0.192
1.867 3.086 2.308
2.040 -0.982 3.635
W Co Re Zn
1 1 1 1
Direct
0.500 0.500 0.500
0.750 0.750 0.750
0.250 0.250 0.250
0.000 0.000 0.000
```

# 3
A plane-wave DFT calculation with PBE was carried out for crystalline YZnCoRe at its relaxed geometry.

The structure in POSCAR format:
```
YZnCoRe
1.0
3.161 -3.245 0.602
1.271 -1.197 4.223
-1.202 -4.077 1.679
Y Co Re Zn
1 1 1 1
Direct
0.250 0.250 0.250
0.750 0.750 0.750
0.500 0.500 0.500
0.000 0.000 0.000
```

# 4
A plane-wave DFT calculation with PBE was carried out for crystalline YZnCoRe at its relaxed geometry.

The structure in POSCAR format:
```
YZnCoRe
1.0
0.000 3.209 3.209
3.209 0.000 3.209
3.209 3.209 0.000
Re Y Zn Co
1 1 1 1
Direct
0.250 0.250 0.250
0.500 0.500 0.500
0.000 0.000 0.000
0.750 0.750 0.750
```

no.,magnetic moment (μB per formula unit),DFT total energy (eV for the cell shown),energy above the most stable polymorph in this dataset (eV per atom)
1,2.35,-28.2,0.161
2,0.05,-33.2,0.000
3,2.99,-25.5,0.000
4,2.54,-25.2,0.079